The following is a DFT calculation (PBE) of crystalline ReTe2IF at its relaxed geometry.

Geometry as POSCAR:
```
ReTe2IF
1.0
5.138 0.000 0.000
0.000 5.138 0.000
0.000 0.000 5.590
Re Te I F
1 2 1 1
direct
0.000 0.000 0.000
0.000 0.500 0.000
0.500 0.000 0.000
0.000 0.000 0.500
0.500 0.500 0.500
```

The calculation puts the uncorrected formation energy at 174 kJ/mol of formula units. The total energy comes out at -20.35 eV per cell. For the theoretical density, the calculation gives 6.6 Mg/m³. For the density of states at the Fermi level, the calculation gives 4.412 states/eV per cell. The calculation puts the energy above the most stable polymorph in this dataset at 0 meV per atom. The value obtained for the total moment is 0.00 μB per formula unit. The space-group type is P4/mmm (123). The calculated volume comes out at 148 Å³ per cell.